[1]
The following is a PBE calculation of a geometry-optimized KHg12Pd6 structure, from the Alexandria database.

Summary:
ρ: 11.7 g/cm³
N(E_F): 8.9 states/eV/f.u.
Energy relative to the elements: -7.2 kJ per mole of atoms
VASP energy: -37.3 eV/cell
Spin magnetization: 0.00 μB/f.u.

Cell lengths 7.9803, 7.9803, 7.9803 Å; angles 105.51, 105.51, 105.51 degrees
Element x y z (fractional)
Hg 0.8822 0.5000 0.1178
Hg 0.1178 0.5000 0.8822
Hg 0.5000 0.8822 0.1178
Hg 0.1178 0.8822 0.5000
Hg 0.8672 0.6028 0.6028
Hg 0.3972 0.3972 0.1328
Hg 0.6028 0.8672 0.6028
Hg 0.3972 0.1328 0.3972
Hg 0.1328 0.3972 0.3972
Hg 0.8822 0.1178 0.5000
Hg 0.5000 0.1178 0.8822
Hg 0.6028 0.6028 0.8672
Pd 0.2781 0.2781 0.6847
Pd 0.7219 0.7219 0.3153
Pd 0.3153 0.7219 0.7219
Pd 0.7219 0.3153 0.7219
Pd 0.2781 0.6847 0.2781
Pd 0.6847 0.2781 0.2781
K 0.0000 0.0000 0.0000


[2]
The following is a PBE calculation of a geometry-optimized K3Hg2Pd2 structure, from the Alexandria database.

Summary:
ρ: 5.6 g/cm³
N(E_F): 2.9 states/eV/f.u.
Energy relative to the elements: -18.1 kJ per mole of atoms
VASP energy: -62.4 eV/cell
Spin magnetization: 0.00 μB/f.u.

Cell lengths 6.4519, 9.2834, 14.5213 Å; angles 90.00, 90.00, 90.00 degrees
Element x y z (fractional)
Pd 0.3830 0.9796 0.4187
Pd 0.6170 0.4796 0.0813
Pd 0.6170 0.0204 0.5813
Pd 0.3830 0.9796 0.0813
Pd 0.6170 0.0204 0.9187
Pd 0.3830 0.5204 0.9187
Pd 0.6170 0.4796 0.4187
Pd 0.3830 0.5204 0.5813
Hg 0.6034 0.7500 0.0000
Hg 0.7966 0.4288 0.2500
Hg 0.2034 0.5712 0.7500
Hg 0.7966 0.0712 0.7500
Hg 0.3966 0.2500 0.0000
Hg 0.2034 0.9288 0.2500
Hg 0.6034 0.7500 0.5000
Hg 0.3966 0.2500 0.5000
K 0.6590 0.7240 0.7500
K 0.1300 0.8822 0.5968
K 0.3410 0.2760 0.2500
K 0.1300 0.8822 0.9032
K 0.6590 0.7760 0.2500
K 0.8700 0.3822 0.5968
K 0.1300 0.6178 0.4032
K 0.8700 0.1178 0.0968
K 0.1300 0.6178 0.0968
K 0.8700 0.3822 0.9032
K 0.8700 0.1178 0.4032
K 0.3410 0.2240 0.7500


[3]
The following is a PBE calculation of a geometry-optimized K2HgPd structure, from the Alexandria database.

Summary:
ρ: 5.1 g/cm³
N(E_F): 3.1 states/eV/f.u.
Energy relative to the elements: 30.3 kJ per mole of atoms
VASP energy: -6.4 eV/cell
Spin magnetization: 0.00 μB/f.u.

Cell lengths 3.5497, 3.5497, 11.6981 Å; angles 81.27, 81.27, 60.00 degrees
Element x y z (fractional)
K 0.9175 0.9175 0.2475
K 0.0825 0.0825 0.7525
Hg 0.5000 0.5000 0.5000
Pd 0.0000 0.0000 0.0000


[4]
The following is a PBE calculation of a geometry-optimized K2HgPd2 structure, from the Alexandria database.

Summary:
ρ: 5.9 g/cm³
N(E_F): 1.5 states/eV/f.u.
Energy relative to the elements: -14.3 kJ per mole of atoms
VASP energy: -13.6 eV/cell
Energy above the lowest structure with this stoichiometry: 0 meV per atom
Spin magnetization: 0.00 μB/f.u.

Cell lengths 4.7482, 5.6129, 6.3322 Å; angles 116.31, 112.02, 90.00 degrees
Element x y z (fractional)
Hg 0.0000 0.0000 0.0000
Pd 0.5000 0.7438 0.0000
Pd 0.5000 0.2562 0.0000
K 0.2023 0.7022 0.4045
K 0.7977 0.2978 0.5955


[5]
The following is a PBE calculation of a geometry-optimized KHg6Pd structure, from the Alexandria database.

Summary:
ρ: 9.6 g/cm³
N(E_F): 2.7 states/eV/f.u.
Energy relative to the elements: -9.5 kJ per mole of atoms
VASP energy: -8.9 eV/cell
Spin magnetization: 0.00 μB/f.u.

Cell lengths 5.0522, 5.0522, 10.9419 Å; angles 76.65, 76.65, 60.00 degrees
Element x y z (fractional)
Hg 0.0869 0.0869 0.7394
Hg 0.2256 0.2256 0.3231
Hg 0.3301 0.3301 0.0096
Hg 0.6699 0.6699 0.9904
Hg 0.7744 0.7744 0.6769
Hg 0.9131 0.9131 0.2606
Pd 0.0000 0.0000 0.0000
K 0.5000 0.5000 0.5000


[6]
The following is a PBE calculation of a geometry-optimized K3Hg3Pd structure, from the Alexandria database.

Summary:
ρ: 5.3 g/cm³
N(E_F): 3.9 states/eV/f.u.
Energy relative to the elements: -19.3 kJ per mole of atoms
VASP energy: -43.2 eV/cell
Spin magnetization: 0.00 μB/f.u.

Cell lengths 7.0532, 11.0250, 13.9955 Å; angles 90.00, 90.00, 108.66 degrees
Element x y z (fractional)
Hg 0.1719 0.6697 0.6012
Hg 0.9978 0.6697 0.1012
Hg 0.5022 0.3303 0.6012
Hg 0.8232 0.0000 0.5674
Hg 0.4978 0.6697 0.3988
Hg 0.3281 0.3303 0.1012
Hg 0.3232 0.0000 0.9326
Hg 0.6719 0.6697 0.8988
Hg 0.1768 0.0000 0.4326
Hg 0.8281 0.3303 0.3988
Hg 0.0022 0.3303 0.8988
Hg 0.6768 0.0000 0.0674
K 0.7224 0.0000 0.3206
K 0.4988 0.3331 0.8623
K 0.9988 0.3331 0.6377
K 0.0012 0.6669 0.3623
K 0.6657 0.6669 0.6377
K 0.2224 0.0000 0.1794
K 0.5012 0.6669 0.1377
K 0.1657 0.6669 0.8623
K 0.8343 0.3331 0.1377
K 0.3343 0.3331 0.3623
K 0.2776 0.0000 0.6794
K 0.7776 0.0000 0.8206
Pd 0.5664 0.1328 0.5000
Pd 0.9336 0.8672 0.0000
Pd 0.0664 0.1328 0.0000
Pd 0.4336 0.8672 0.5000


[7]
The following is a PBE calculation of a geometry-optimized K6Hg2Pd structure, from the Alexandria database.

Summary:
ρ: 3.3 g/cm³
N(E_F): 4.2 states/eV/f.u.
Energy relative to the elements: -9.1 kJ per mole of atoms
VASP energy: -13.2 eV/cell
Spin magnetization: 0.00 μB/f.u.

Cell lengths 6.0706, 6.0706, 12.1628 Å; angles 75.55, 75.55, 60.00 degrees
Element x y z (fractional)
K 0.3071 0.3071 0.0787
K 0.8122 0.8122 0.5634
K 0.5797 0.5797 0.2609
K 0.6929 0.6929 0.9213
K 0.1878 0.1878 0.4366
K 0.4203 0.4203 0.7391
Hg 0.0795 0.0795 0.7615
Hg 0.9205 0.9205 0.2385
Pd 0.0000 0.0000 0.0000


[8]
The following is a PBE calculation of a geometry-optimized K4Hg5Pd structure, from the Alexandria database.

Summary:
ρ: 6.1 g/cm³
N(E_F): 5.3 states/eV/f.u.
Energy relative to the elements: -21.9 kJ per mole of atoms
VASP energy: -13.4 eV/cell
Spin magnetization: 0.00 μB/f.u.

Cell lengths 5.5256, 8.3531, 8.3531 Å; angles 83.72, 70.69, 70.69 degrees
Element x y z (fractional)
Hg 0.1474 0.6484 0.0000
Hg 0.6441 0.0000 0.0000
Hg 0.1474 0.0000 0.6484
Hg 0.7958 0.3516 0.0000
Hg 0.7958 0.0000 0.3516
Pd 0.1450 0.0000 0.0000
K 0.4535 0.2864 0.7136
K 0.7399 0.7136 0.7136
K 0.1671 0.2864 0.2864
K 0.4535 0.7136 0.2864


[9]
The following is a PBE calculation of a geometry-optimized K2Hg5Pd structure, from the Alexandria database.

Summary:
ρ: 7.3 g/cm³
N(E_F): 3.0 states/eV/f.u.
Energy relative to the elements: -19.9 kJ per mole of atoms
VASP energy: -10.6 eV/cell
Energy above the lowest structure with this stoichiometry: 8 meV per atom
Spin magnetization: 0.00 μB/f.u.

Cell lengths 6.8057, 6.8056, 7.5449 Å; angles 116.81, 116.82, 90.00 degrees
Element x y z (fractional)
Hg 0.2769 0.7806 0.0574
Hg 0.2768 0.2768 0.0574
Hg 0.7807 0.2769 0.0575
Hg 0.7806 0.7807 0.0575
Hg 0.6795 0.6795 0.3590
K 0.7853 0.2854 0.5709
K 0.2854 0.7854 0.5708
Pd 0.9118 0.9118 0.8237


[10]
The following is a PBE calculation of a geometry-optimized KHg6Pd6 structure, from the Alexandria database.

Summary:
ρ: 11.9 g/cm³
N(E_F): 4.9 states/eV/f.u.
Energy relative to the elements: -20.8 kJ per mole of atoms
VASP energy: -36.9 eV/cell
Spin magnetization: 0.00 μB/f.u.

Cell lengths 5.7291, 7.3669, 7.3669 Å; angles 78.40, 67.12, 67.12 degrees
Element x y z (fractional)
Pd 0.5000 0.5000 0.0000
Pd 0.0000 0.0000 0.5000
Pd 0.0000 0.5000 0.0000
Pd 0.5000 0.0000 0.5000
Pd 0.5000 0.7530 0.2470
Pd 0.5000 0.2470 0.7530
Hg 0.6607 0.3393 0.3393
Hg 0.0000 0.6680 0.3320
Hg 0.3393 0.6607 0.6607
Hg 0.3247 0.1753 0.1753
Hg 0.0000 0.3320 0.6680
Hg 0.6753 0.8247 0.8247
K 0.0000 0.0000 0.0000


[11]
The following is a PBE calculation of a geometry-optimized K2HgPd2 structure, from the Alexandria database.

Summary:
ρ: 5.9 g/cm³
N(E_F): 1.6 states/eV/f.u.
Energy relative to the elements: -11.6 kJ per mole of atoms
VASP energy: -27.0 eV/cell
Energy above the lowest structure with this stoichiometry: 29 meV per atom
Spin magnetization: 0.00 μB/f.u.

Cell lengths 6.3429, 5.8936, 8.9094 Å; angles 99.18, 90.00, 122.56 degrees
Element x y z (fractional)
Pd 0.2652 0.2658 0.5062
Pd 0.0006 0.2658 0.0062
Pd 0.9994 0.7342 0.9938
Pd 0.7348 0.7342 0.4938
K 0.5185 0.2917 0.1485
K 0.4815 0.7083 0.8515
K 0.2268 0.7083 0.3515
K 0.7732 0.2917 0.6485
Hg 0.0989 0.0000 0.7500
Hg 0.9011 0.0000 0.2500


[12]
The following is a PBE calculation of a geometry-optimized K2Hg4Pd structure, from the Alexandria database.

Summary:
ρ: 6.6 g/cm³
N(E_F): 3.0 states/eV/f.u.
Energy relative to the elements: -21.2 kJ per mole of atoms
VASP energy: -10.1 eV/cell
Energy above the lowest structure with this stoichiometry: 19 meV per atom
Spin magnetization: 0.00 μB/f.u.

Cell lengths 5.3695, 5.3695, 9.4619 Å; angles 73.52, 73.52, 90.00 degrees
Element x y z (fractional)
K 0.6403 0.6403 0.7194
K 0.3597 0.3597 0.2806
Hg 0.1593 0.1593 0.6815
Hg 0.5000 0.0000 0.0000
Hg 0.0000 0.5000 0.0000
Hg 0.8407 0.8407 0.3185
Pd 0.0000 0.0000 0.0000


[13]
The following is a PBE calculation of a geometry-optimized K2HgPd structure, from the Alexandria database.

Summary:
ρ: 4.0 g/cm³
N(E_F): 1.8 states/eV/f.u.
Energy relative to the elements: -15.1 kJ per mole of atoms
VASP energy: -8.3 eV/cell
Spin magnetization: 0.00 μB/f.u.

Cell lengths 4.7636, 4.7667, 8.6465 Å; angles 73.99, 74.01, 60.02 degrees
Element x y z (fractional)
Hg 0.1358 0.8986 0.8298
K 0.7149 0.4774 0.0928
K 0.8902 0.6534 0.5662
Pd 0.4694 0.2326 0.8286


[14]
The following is a PBE calculation of a geometry-optimized K2Hg5Pd structure, from the Alexandria database.

Summary:
ρ: 7.9 g/cm³
N(E_F): 2.8 states/eV/f.u.
Energy relative to the elements: -20.7 kJ per mole of atoms
VASP energy: -42.4 eV/cell
Energy above the lowest structure with this stoichiometry: 0 meV per atom
Spin magnetization: 0.00 μB/f.u.

Cell lengths 6.9878, 9.0017, 15.9691 Å; angles 90.00, 90.00, 90.00 degrees
Element x y z (fractional)
K 0.2500 0.9530 0.8165
K 0.2500 0.1691 0.4524
K 0.2500 0.4530 0.6835
K 0.7500 0.8309 0.5476
K 0.7500 0.0470 0.1835
K 0.7500 0.5470 0.3165
K 0.7500 0.3309 0.9524
K 0.2500 0.6691 0.0476
Pd 0.2500 0.2071 0.0588
Pd 0.2500 0.7071 0.4412
Pd 0.7500 0.7929 0.9412
Pd 0.7500 0.2929 0.5588
Hg 0.5000 0.0000 0.0000
Hg 0.7500 0.1643 0.4005
Hg 0.9991 0.8843 0.3482
Hg 0.2500 0.8357 0.5995
Hg 0.5009 0.8843 0.3482
Hg 0.7500 0.9208 0.7802
Hg 0.2500 0.3357 0.9005
Hg 0.5000 0.5000 0.5000
Hg 0.7500 0.6643 0.0995
Hg 0.4991 0.6157 0.8482
Hg 0.0009 0.6157 0.8482
Hg 0.5009 0.3843 0.1518
Hg 0.2500 0.5792 0.2802
Hg 0.0009 0.1157 0.6518
Hg 0.9991 0.3843 0.1518
Hg 0.2500 0.0792 0.2198
Hg 0.4991 0.1157 0.6518
Hg 0.7500 0.4208 0.7198
Hg 0.0000 0.5000 0.5000
Hg 0.0000 0.0000 0.0000


[15]
The following is a PBE calculation of a geometry-optimized K3Hg9Pd2 structure, from the Alexandria database.

Summary:
ρ: 8.9 g/cm³
N(E_F): 3.0 states/eV/f.u.
Energy relative to the elements: -21.1 kJ per mole of atoms
VASP energy: -38.9 eV/cell
Spin magnetization: 0.00 μB/f.u.

Cell lengths 9.3507, 9.3507, 9.3507 Å; angles 81.72, 81.72, 81.72 degrees
Element x y z (fractional)
Pd 0.3253 0.3253 0.3253
Pd 0.8253 0.8253 0.8253
Pd 0.1747 0.1747 0.1747
Pd 0.6747 0.6747 0.6747
K 0.2500 0.9311 0.5689
K 0.4311 0.7500 0.0689
K 0.7500 0.0689 0.4311
K 0.0689 0.4311 0.7500
K 0.9311 0.5689 0.2500
K 0.5689 0.2500 0.9311
Hg 0.0486 0.2500 0.4514
Hg 0.9514 0.7500 0.5486
Hg 0.6004 0.4208 0.2607
Hg 0.3996 0.5792 0.7393
Hg 0.7500 0.5486 0.9514
Hg 0.7607 0.9208 0.1004
Hg 0.5792 0.7393 0.3996
Hg 0.2607 0.6004 0.4208
Hg 0.8996 0.2393 0.0792
Hg 0.7393 0.3996 0.5792
Hg 0.1004 0.7607 0.9208
Hg 0.5486 0.9514 0.7500
Hg 0.0792 0.8996 0.2393
Hg 0.2393 0.0792 0.8996
Hg 0.4208 0.2607 0.6004
Hg 0.4514 0.0486 0.2500
Hg 0.9208 0.1004 0.7607
Hg 0.2500 0.4514 0.0486


[16]
The following is a PBE calculation of a geometry-optimized K2HgPd structure, from the Alexandria database.

Summary:
ρ: 5.1 g/cm³
N(E_F): 1.2 states/eV/f.u.
Energy relative to the elements: 23.3 kJ per mole of atoms
VASP energy: -13.4 eV/cell
Spin magnetization: 0.00 μB/f.u.

Cell lengths 4.7584, 4.7584, 11.6443 Å; angles 78.21, 78.21, 90.00 degrees
Element x y z (fractional)
Hg 0.0000 0.0000 0.0000
Hg 0.7500 0.2500 0.5000
K 0.6108 0.1250 0.2500
K 0.1392 0.6250 0.2500
K 0.3750 0.3892 0.7500
K 0.8750 0.8608 0.7500
Pd 0.5000 0.5000 0.0000
Pd 0.2500 0.7500 0.5000


[17]
The following is a PBE calculation of a geometry-optimized K8Hg2Pd structure, from the Alexandria database.

Summary:
ρ: 2.8 g/cm³
N(E_F): 4.0 states/eV/f.u.
Energy relative to the elements: -2.1 kJ per mole of atoms
VASP energy: -14.8 eV/cell
Spin magnetization: 0.00 μB/f.u.

Cell lengths 5.8915, 9.4955, 10.2443 Å; angles 117.62, 106.71, 90.00 degrees
Element x y z (fractional)
Pd 0.5000 0.0000 0.0000
K 0.0000 0.7004 0.0000
K 0.3505 0.5818 0.7011
K 0.1414 0.1414 0.2828
K 0.0000 0.2996 0.0000
K 0.8586 0.8586 0.7172
K 0.6495 0.8806 0.2990
K 0.6495 0.4182 0.2989
K 0.3505 0.1194 0.7010
Hg 0.1901 0.6901 0.3802
Hg 0.8099 0.3099 0.6198